The following is a PBE calculation of crystalline BaLaY at its relaxed geometry, from the Alexandria database.

Total energy (eV per atom): -4.227
Offset from the most stable computed form (eV per atom): 0.060
Formation energy (meV per atom): 212
Space group: No. 44

Lattice parameters (Å, degrees): 6.8100 6.8100 6.8100 147.39 133.68 57.79
Last column: nearest neighbours and their distance in Å.
Atoms (fractional coordinates):
1 Ba 0.0029 0.0029 0.0000  5 La 3.77-3.95, 2 Ba 3.82, 5 Y 3.88-3.90
2 La 0.3194 0.3194 0.0000  4 Y 3.70, 5 Ba 3.77-3.95, 2 La 3.82
3 Y 0.6778 0.6778 0.0000  4 La 3.70, 2 Y 3.82, 5 Ba 3.88-3.90